# ReNiTe2, optimized geometry, DFT GGA-PBE
# Uncorrected energy, eV per atom: -5.65
# Formation energy without anion corrections, eV/atom: 0.48
# Spin magnetization, μB per formula unit: 0.00
# DOS(E_F), states/eV/atom: 0.83
data_ReNiTe2
_chemical_formula_sum 'Re4 Ni4 Te8'
_symmetry_space_group_name_H-M 'I -4 2 d'
_symmetry_Int_Tables_number 122
_symmetry_space_group_name_Hall 'I -4 2bw'
_cell_length_a 5.9194
_cell_length_b 5.9194
_cell_length_c 11.4712
_cell_angle_alpha 90.00
_cell_angle_beta 90.00
_cell_angle_gamma 90.00
loop_
_atom_site_label
_atom_site_fract_x
_atom_site_fract_y
_atom_site_fract_z
Re1 0.0000 0.0000 0.0000
Ni1 0.0000 0.0000 0.5000
Te1 0.2375 0.2500 0.6250